No. 1
## ScCrIn2 (meta-GGA SCAN)

Data for ScCrIn2 at its PBEsol-relaxed geometry.

Values from the calculation:
**SG**: Fm-3m (225)
**E above lowest polymorph**: 0 meV per atom
**D(E_F)**: 0.503 states/eV per atom
**Calculated formation energy**: -0.2545 eV/atom

abc: 4.768 4.768 4.768
angles: 60.00 60.00 60.00
Last column: magnetic moment on the atom in μB.
Fractional positions:
Cr 0.000 0.000 0.000  3.65
In 0.250 0.250 0.250  -0.10
In 0.750 0.750 0.750  -0.10
Sc 0.500 0.500 0.500  -0.23

***

No. 2
## YSi (meta-GGA SCAN)

Data for YSi at its PBEsol-relaxed geometry.

Values from the calculation:
**SG**: Cmcm (63)
**D(E_F)**: 0.483 states/eV per atom
**Uncorrected formation energy**: -0.902 eV/atom

abc: 3.800 4.233 5.641
angles: 67.96 90.00 90.00
Fractional positions:
Y 0.250 0.141 0.719
Y 0.750 0.859 0.281
Si 0.250 0.424 0.152
Si 0.750 0.576 0.848

***

No. 3
## Ni3W (meta-GGA SCAN)

Data for Ni3W at its PBEsol-relaxed geometry.

Values from the calculation:
**SG**: Pm-3m (221)
**D(E_F)**: 1.103 states/eV per atom
**Calculated formation energy**: 0.1718 eV/atom

abc: 3.598 3.598 3.598
angles: 90.00 90.00 90.00
Last column: magnetic moment on the atom in μB.
Fractional positions:
Ni 0.000 0.000 0.500  0.38
Ni 0.000 0.500 0.000  0.38
Ni 0.500 0.000 0.000  0.38
W 0.500 0.500 0.500  0.73

***

No. 4
## PtBr2 (meta-GGA SCAN)

Data for PtBr2 at its PBEsol-relaxed geometry.

Values from the calculation:
**SG**: Fmmm (69)
**Uncorrected formation energy**: -0.198 eV/atom

abc: 3.586 4.141 6.754
angles: 83.40 74.60 64.34
Fractional positions:
Pt 0.500 0.000 0.000
Br 0.125 0.000 0.749
Br 0.875 0.000 0.251

***

No. 5
## RbLi2Mo (meta-GGA SCAN)

Data for RbLi2Mo at its PBEsol-relaxed geometry.

Values from the calculation:
**SG**: I-42d (122)
**D(E_F)**: 0.317 states/eV per atom
**Calculated formation energy**: 1.1302 eV/atom

abc: 6.795 6.795 6.795
angles: 104.77 104.77 119.34
Last column: magnetic moment on the atom in μB.
Fractional positions:
Mo 0.000 0.000 0.000  3.98
Mo 0.250 0.750 0.500  3.98
Rb 0.500 0.500 0.000  0.01
Rb 0.750 0.250 0.500  0.01
Li 0.625 0.669 0.544  0.01
Li 0.125 0.081 0.456  0.01
Li 0.919 0.375 0.044  0.01
Li 0.331 0.875 0.956  0.01

***

No. 6
## PbAu2 (meta-GGA SCAN)

Data for PbAu2 at its PBEsol-relaxed geometry.

Values from the calculation:
**SG**: Pnma (62)
**D(E_F)**: 0.355 states/eV per atom
**Calculated formation energy**: -0.0265 eV/atom

abc: 4.913 5.745 8.773
angles: 90.00 90.00 90.00
Fractional positions:
Au 0.750 0.704 0.793
Au 0.250 0.796 0.293
Au 0.750 0.204 0.707
Au 0.250 0.296 0.207
Au 0.750 0.363 0.020
Au 0.250 0.137 0.520
Au 0.750 0.863 0.480
Au 0.250 0.637 0.980
Pb 0.750 0.885 0.127
Pb 0.250 0.615 0.627
Pb 0.750 0.385 0.373
Pb 0.250 0.115 0.873

***

No. 7
## TaAsSe2Cl (meta-GGA SCAN)

Data for TaAsSe2Cl at its PBEsol-relaxed geometry.

Values from the calculation:
**SG**: P4/mmm (123)
**D(E_F)**: 0.747 states/eV per atom
**Uncorrected formation energy**: 1.362 eV/atom

abc: 4.792 4.649 4.649
angles: 90.00 90.00 90.00
Last column: magnetic moment on the atom in μB.
Fractional positions:
As 0.500 0.000 0.000  -0.18
Cl 0.000 0.000 0.000  -0.02
Se 0.000 0.000 0.500  -0.18
Se 0.000 0.500 0.000  -0.18
Ta 0.500 0.500 0.500  1.54

***

No. 8
## La2TlCu (meta-GGA SCAN)

Data for La2TlCu at its PBEsol-relaxed geometry.

Values from the calculation:
**SG**: P4/mmm (123)
**D(E_F)**: 1.040 states/eV per atom
**Calculated formation energy**: -0.3254 eV/atom

abc: 3.844 5.306 5.306
angles: 90.00 90.00 90.00
Fractional positions:
Tl 0.500 0.500 0.500
Cu 0.500 0.000 0.000
La 0.000 0.000 0.500
La 0.000 0.500 0.000

***

What did we get for total DFT energy (no corrections)? Answer: -25.1031; -19.8310; -29.3802; -36.5685; -13.9708; -71.3915; -25.6198; -43.7674 eV per atom, in the order shown.
What did we get for total magnetic moment? Answer: 3.50; 0.00; 1.98; 0.00; 4.73; 0.00; 1.47; 0.02 μB/f.u., in the order shown.